# 1
This record from Alexandria via LeMat-Bulk describes a geometry-optimized La3TbHg2 structure. The functional is GGA-PBE.

Cell lengths 5.4058, 7.0627, 9.7979 Å; angles 90.00, 90.00, 90.00 degrees
Atoms (fractional coordinates):
Tb (0.5000, 0.5113, 0.5505)
Tb (0.5000, 0.0113, 0.4495)
La (0.0000, 0.4910, 0.9439)
La (0.0000, 0.3098, 0.3288)
La (0.0000, 0.9910, 0.0561)
La (0.5000, 0.1862, 0.8243)
La (0.0000, 0.8098, 0.6712)
La (0.5000, 0.6862, 0.1757)
Hg (0.0000, 0.7744, 0.3533)
Hg (0.5000, 0.7272, 0.8451)
Hg (0.5000, 0.2272, 0.1549)
Hg (0.0000, 0.2744, 0.6467)

Computed properties:
Calculated density (kg/m3): 8672
Crystal system: orthorhombic
Offset from the most stable computed form (meV per atom): 0.0
Fermi-level density of states (states/eV/f.u.): 4.3

=====

# 2
This record from Alexandria via LeMat-Bulk describes a geometry-optimized Na2PmScS4 structure. The functional is GGA-PBE.

Cell lengths 3.9431, 6.8262, 7.0492 Å; angles 108.84, 90.00, 90.00 degrees
Atoms (fractional coordinates):
S (0.5000, 0.7762, 0.7806)
S (0.0000, 0.2395, 0.7724)
S (0.5000, 0.2238, 0.2194)
S (0.0000, 0.7605, 0.2276)
Pm (0.5000, 0.5000, 0.0000)
Na (0.0000, 0.5000, 0.5000)
Na (0.5000, 0.0000, 0.5000)
Sc (0.0000, 0.0000, 0.0000)

Computed properties:
ΔE_f (raw) (kJ per mole of atoms): -169
Calculated density (kg/m3): 3368
Crystal system: monoclinic
Fermi-level density of states (states/eV/f.u.): 0.0

=====

# 3
This record from Alexandria via LeMat-Bulk describes a geometry-optimized La2TlAs structure. The functional is GGA-PBE.

Cell lengths 5.4130, 5.4130, 5.4130 Å; angles 60.00, 60.00, 60.00 degrees
Atoms (fractional coordinates):
La (0.0000, 0.0000, 0.0000)
La (0.2500, 0.2500, 0.2500)
Tl (0.7500, 0.7500, 0.7500)
As (0.5000, 0.5000, 0.5000)

Computed properties:
Calculated density (kg/m3): 8249
Crystal system: cubic
Offset from the most stable computed form (meV per atom): 753.2
Fermi-level density of states (states/eV/f.u.): 5.0

=====

# 4
This record from Alexandria via LeMat-Bulk describes a geometry-optimized VCr3Fe structure. The functional is GGA-PBE.

Cell lengths 4.8883, 4.8883, 4.7555 Å; angles 59.07, 59.07, 60.00 degrees
Atoms (fractional coordinates):
Fe (0.4750, 0.4750, 0.5750)
Cr (0.4750, 0.9750, 0.5750)
Cr (0.9750, 0.4750, 0.5750)
Cr (0.9750, 0.9750, 0.5750)
V (0.9750, 0.9750, 0.0750)

Computed properties:
Calculated density (kg/m3): 5509
Crystal system: trigonal
Offset from the most stable computed form (meV per atom): 175.0
Fermi-level density of states (states/eV/f.u.): 7.0

=====

# 5
This record from Alexandria via LeMat-Bulk describes a geometry-optimized KLaPd2W structure. The functional is GGA-PBE.

Cell lengths 5.3653, 5.3152, 5.3653 Å; angles 90.00, 90.00, 90.00 degrees
Atoms (fractional coordinates):
W (0.0000, 0.5000, 0.0000)
K (0.5000, 0.5000, 0.5000)
Pd (0.0000, 0.0000, 0.5000)
Pd (0.5000, 0.0000, 0.0000)
La (0.0000, 0.0000, 0.0000)

Computed properties:
Calculated density (kg/m3): 6237
Crystal system: tetragonal
Fermi-level density of states (states/eV/f.u.): 4.5

=====

# 6
This record from Alexandria via LeMat-Bulk describes a geometry-optimized Tb3Sn2 structure. The functional is GGA-PBE.

Cell lengths 6.1421, 6.1421, 8.8535 Å; angles 110.30, 110.30, 90.00 degrees
Atoms (fractional coordinates):
Tb (0.6325, 0.3824, 0.7649)
Tb (0.1324, 0.3824, 0.7649)
Tb (0.1324, 0.8825, 0.2649)
Tb (0.5074, 0.0074, 0.0148)
Tb (0.7574, 0.7574, 0.5148)
Tb (0.1324, 0.3824, 0.2649)
Sn (0.3084, 0.8084, 0.6168)
Sn (0.5584, 0.5584, 0.1168)
Sn (0.9564, 0.9564, 0.9128)
Sn (0.7064, 0.2064, 0.4128)

Computed properties:
Calculated density (kg/m3): 8149
Crystal system: tetragonal
Fermi-level density of states (states/eV/f.u.): 2.7

=====

# 7
This record from Alexandria via LeMat-Bulk describes a geometry-optimized Mn4BeAs structure. The functional is GGA-PBE.

Cell lengths 4.6704, 4.6704, 4.6704 Å; angles 60.00, 60.00, 60.00 degrees
Atoms (fractional coordinates):
As (0.7500, 0.7500, 0.7500)
Mn (0.3745, 0.3745, 0.3745)
Mn (0.8766, 0.3745, 0.3745)
Mn (0.3745, 0.8766, 0.3745)
Mn (0.3745, 0.3745, 0.8766)
Be (0.0000, 0.0000, 0.0000)

Computed properties:
Calculated density (kg/m3): 7001
Crystal system: cubic
Fermi-level density of states (states/eV/f.u.): 8.5

=====

VASP energy readings, ordered: -3.67, -5.53, -4.40, -8.01, -4.58, -4.95, -7.10 eV/atom